[1]
SmGa12Cu4 | PBE | optimized geometry

Unit cell a=7.4646 b=7.4646 c=7.4646 alpha=109.47 beta=109.47 gamma=109.47
Fractional coordinates of all 17 atoms:
1 Sm 0.0000 0.0000 0.0000
2 Ga 0.8423 0.3469 0.1892
3 Ga 0.3469 0.5046 0.1577
4 Ga 0.8108 0.1577 0.6531
5 Ga 0.3469 0.1892 0.8423
6 Ga 0.1892 0.8423 0.3469
7 Ga 0.6531 0.4954 0.8423
8 Ga 0.5046 0.1577 0.3469
9 Ga 0.4954 0.8423 0.6531
10 Ga 0.6531 0.8108 0.1577
11 Ga 0.8423 0.6531 0.4954
12 Ga 0.1577 0.3469 0.5046
13 Ga 0.1577 0.6531 0.8108
14 Cu 0.0000 0.5000 0.0000
15 Cu 0.5000 0.0000 0.0000
16 Cu 0.5000 0.5000 0.5000
17 Cu 0.0000 0.0000 0.5000

Energy relative to the elements = -0.05 eV/atom
SG = No. 204
Uncorrected energy = -3.428 eV per atom
M_tot = 0.000 μB per formula unit
Mass density = 6.44 Mg/m³


[2]
Sm2Ga5Cu | PBE | optimized geometry

Unit cell a=6.1625 b=6.1625 c=6.1625 alpha=87.70 beta=121.34 gamma=121.34
Fractional coordinates of all 8 atoms:
1 Sm 0.5000 0.2677 0.7677
2 Sm 0.5000 0.7677 0.2677
3 Ga 0.4547 0.7429 0.7429
4 Ga 0.0000 0.7429 0.2882
5 Ga 0.0000 0.2882 0.7429
6 Ga 0.5453 0.2882 0.2882
7 Ga 0.0000 0.2305 0.2305
8 Cu 0.0000 0.8940 0.8940

Energy relative to the elements = -0.45 eV/atom
SG = No. 107
Uncorrected energy = -4.036 eV per atom
M_tot = 0.000 μB per formula unit
Mass density = 7.31 Mg/m³


[3]
SmGa3Cu | PBE | optimized geometry

Unit cell a=4.0459 b=6.8003 c=7.0965 alpha=90.00 beta=90.00 gamma=90.00
Fractional coordinates of all 10 atoms:
1 Sm 0.7500 0.7500 0.3264
2 Sm 0.2500 0.2500 0.6736
3 Ga 0.7500 0.9394 0.8343
4 Ga 0.2500 0.0606 0.1657
5 Ga 0.7500 0.5606 0.8343
6 Ga 0.2500 0.4394 0.1657
7 Ga 0.2500 0.7500 0.6421
8 Ga 0.7500 0.2500 0.3579
9 Cu 0.2500 0.7500 0.9936
10 Cu 0.7500 0.2500 0.0064

Energy relative to the elements = -0.38 eV/atom
SG = No. 59
Uncorrected energy = -3.963 eV per atom
M_tot = 0.000 μB per formula unit
Mass density = 7.20 Mg/m³
Energy above the lowest structure with this stoichiometry = 0.1320 eV/atom


[4]
SmGa3Cu | PBE | optimized geometry

Unit cell a=4.1927 b=4.1923 c=6.0541 alpha=69.71 beta=69.71 gamma=90.10
Fractional coordinates of all 5 atoms:
1 Sm 0.3941 0.1977 0.9182
2 Ga 0.6448 0.9468 0.4168
3 Ga 0.1433 0.4481 0.4168
4 Ga 0.8003 0.6039 0.1036
5 Cu 0.0253 0.8286 0.6558

Energy relative to the elements = -0.52 eV/atom
SG = No. 8
Uncorrected energy = -4.095 eV per atom
M_tot = 0.000 μB per formula unit
Mass density = 7.58 Mg/m³
Energy above the lowest structure with this stoichiometry = 0.0000 eV/atom


Repeat the fourth record exactly.
SmGa3Cu | PBE | optimized geometry

Unit cell a=4.1927 b=4.1923 c=6.0541 alpha=69.71 beta=69.71 gamma=90.10
Fractional coordinates of all 5 atoms:
1 Sm 0.3941 0.1977 0.9182
2 Ga 0.6448 0.9468 0.4168
3 Ga 0.1433 0.4481 0.4168
4 Ga 0.8003 0.6039 0.1036
5 Cu 0.0253 0.8286 0.6558

Energy relative to the elements = -0.52 eV/atom
SG = No. 8
Uncorrected energy = -4.095 eV per atom
M_tot = 0.000 μB per formula unit
Mass density = 7.58 Mg/m³
Energy above the lowest structure with this stoichiometry = 0.0000 eV/atom